Computed, not measured: a relaxed structure of CuGe2AsW at the PBE-GGA level of DFT.

Properties
**Volume**: 19.6 Å³ per atom
**DFT total energy**: -4.9212 eV/atom
**ΔE_f**: 1.266 eV/atom

Unit cell a=4.5426 b=4.5426 c=4.7550 alpha=90.00 beta=90.00 gamma=90.00
Last column: nearest neighbours and their distance in Å.
Space group P4/mmm (No. 123)
Inequivalent atoms, fractional coordinates:
Cu: 0.0000 0.0000 0.0000 x1  4 Ge 2.27, 2 As 2.38
Ge: 0.0000 0.5000 0.0000 x2  2 Cu 2.27
As: 0.0000 0.0000 0.5000 x1  2 Cu 2.38
W: 0.5000 0.5000 0.5000 x1  4 As 3.21, 8 Ge 3.29

Computed, not measured: a relaxed structure of RbSrNb at the PBE-GGA level of DFT.

Properties
**Energy relative to the lowest polymorph listed for this composition**: 31.1 kJ per mole of atoms
**Volume**: 42.7 Å³ per atom
**DFT total energy**: -3.5139 eV/atom
**ΔE_f**: 0.726 eV/atom

Unit cell a=3.6102 b=6.3391 c=11.6383 alpha=74.23 beta=89.11 gamma=90.00
Last column: nearest neighbours and their distance in Å.
Space group P1 (No. 1)
Inequivalent atoms, fractional coordinates:
Rb: 0.0000 0.0000 0.0000 x1  4 Rb 3.61-4.02
Rb: 0.0418 0.3898 0.2206 x1  4 Rb 3.61-4.02, 4 Nb 3.95-3.98
Sr: 0.5135 0.6137 0.7719 x1  2 Nb 3.37, 2 Sr 3.61
Sr: 0.5239 0.2232 0.5520 x1  4 Sr 3.61-4.01, 6 Nb 3.66-3.84
Nb: 0.0243 0.7401 0.5179 x1  2 Nb 2.52-2.54
Nb: 0.5267 0.8204 0.3596 x1  2 Nb 2.52-2.54

Computed, not measured: a relaxed structure of ZrCr2Pb at the PBE-GGA level of DFT.

Properties
**Volume**: 19.5 Å³ per atom
**DFT total energy**: -7.3375 eV/atom
**ΔE_f**: 0.538 eV/atom

Unit cell a=9.4472 b=3.2157 c=5.2658 alpha=90.00 beta=103.05 gamma=90.00
Last column: nearest neighbours and their distance in Å.
Space group C2/m (No. 12)
Inequivalent atoms, fractional coordinates:
Zr: 0.0000 0.0000 0.0000 x2  6 Cr 2.89-2.95, 4 Pb 3.09, 2 Zr 3.22
Cr: 0.2475 0.5000 0.2421 x4  3 Zr 2.89-2.95, 3 Pb 2.94-2.96, 6 Cr 3.02-3.22
Pb: 0.0000 0.5000 0.5000 x2  6 Cr 2.94-2.96, 4 Zr 3.09, 2 Pb 3.22

Computed, not measured: a relaxed structure of ReTcHg2 at the PBE-GGA level of DFT.

Properties
**Energy relative to the lowest polymorph listed for this composition**: 3.3 kJ per mole of atoms
**Volume**: 18.5 Å³ per atom
**DFT total energy**: -5.5027 eV/atom
**ΔE_f**: 0.352 eV/atom

Unit cell a=2.8841 b=2.8841 c=30.8328 alpha=90.00 beta=90.00 gamma=120.00
Last column: nearest neighbours and their distance in Å.
Space group R3m (No. 160, hexagonal axes)
Inequivalent atoms, fractional coordinates:
Re: 0.0000 0.0000 0.0000 x3  3 Tc 2.60, 6 Re 2.88
Tc: 0.0000 0.0000 0.7312 x3  3 Re 2.60, 6 Tc 2.88
Hg: 0.0000 0.0000 0.2488 x3  6 Hg 2.88, 3 Re 3.09
Hg: 0.0000 0.0000 0.4810 x3  6 Hg 2.88, 3 Tc 3.05

Question: Among the records above, which one has the lowest volume?
Answer: ReTcHg2

Question: Among the records above, which one has the lowest volume?
Answer: ReTcHg2

Question: What is the ΔE_f in the first record?
Answer: 1.266 eV/atom

Please write out number 2 again, unchanged.
Computed, not measured: a relaxed structure of RbSrNb at the PBE-GGA level of DFT.

Properties
**Energy relative to the lowest polymorph listed for this composition**: 31.1 kJ per mole of atoms
**Volume**: 42.7 Å³ per atom
**DFT total energy**: -3.5139 eV/atom
**ΔE_f**: 0.726 eV/atom

Unit cell a=3.6102 b=6.3391 c=11.6383 alpha=74.23 beta=89.11 gamma=90.00
Last column: nearest neighbours and their distance in Å.
Space group P1 (No. 1)
Inequivalent atoms, fractional coordinates:
Rb: 0.0000 0.0000 0.0000 x1  4 Rb 3.61-4.02
Rb: 0.0418 0.3898 0.2206 x1  4 Rb 3.61-4.02, 4 Nb 3.95-3.98
Sr: 0.5135 0.6137 0.7719 x1  2 Nb 3.37, 2 Sr 3.61
Sr: 0.5239 0.2232 0.5520 x1  4 Sr 3.61-4.01, 6 Nb 3.66-3.84
Nb: 0.0243 0.7401 0.5179 x1  2 Nb 2.52-2.54
Nb: 0.5267 0.8204 0.3596 x1  2 Nb 2.52-2.54